(1)
Ce5OsAu2, relaxed, DFT PBE; N(E_F) = 3.0359 states/eV/atom; raw total energy = -6.321 eV/atom
1.0
7.571 0.000 0.000
0.000 11.800 0.000
0.000 0.000 4.628
Ce Os Au
10 2 4
Direct
0.000 0.000 0.000
0.130 0.288 0.000
0.209 0.559 0.500
0.291 0.059 0.500
0.370 0.788 0.000
0.500 0.500 0.000
0.630 0.212 0.000
0.709 0.941 0.500
0.791 0.441 0.500
0.870 0.712 0.000
0.000 0.500 0.000
0.500 0.000 0.000
0.097 0.819 0.500
0.403 0.319 0.500
0.597 0.681 0.500
0.903 0.181 0.500


(2)
Ce7Os2Au2, relaxed, DFT PBE; N(E_F) = 3.0734 states/eV/atom; raw total energy = -6.620 eV/atom; E above lowest polymorph = 8.3 kJ/mol of atoms
1.0
4.057 -5.448 0.000
4.057 5.448 0.000
0.000 0.000 6.681
Ce Os Au
7 2 2
Direct
0.000 0.000 0.000
0.000 0.500 0.274
0.000 0.500 0.726
0.500 0.000 0.274
0.500 0.000 0.726
0.500 0.500 0.274
0.500 0.500 0.726
0.291 0.709 0.000
0.709 0.291 0.000
0.169 0.169 0.500
0.831 0.831 0.500


no.,formation energy (eV/atom),volume (Å³ per cell)
1,-0.389,413.50
2,-0.206,295.32